Tm3Th: optimized geometry, PBE.

Properties
**Crystal system**: orthorhombic
**SG**: Imm2, No. 44
**E above lowest polymorph**: 0 meV per atom
**Calculated total energy**: -20.73 eV per cell
**Size of the total moment**: 0.0 μB per cell
**ΔE_f**: 25 meV/atom

```
Tm3Th
1.0
3.578 0.000 0.000
0.000 6.158 0.000
-1.789 -3.079 5.627
Tm Th
3 1
direct
0.248 0.586 0.496
0.500 0.504 0.000
0.752 0.090 0.504
0.000 0.986 0.000
```